# 1
The following is a GGA-PBE calculation of an optimized crystal structure of Ca2TbErTe4, from Alexandria.

Cell lengths 4.387, 7.594, 7.750 Å; angles 109.13, 90.00, 90.00 degrees
Atoms (fractional coordinates):
Te (0.500, 0.246, 0.243)
Te (0.000, 0.249, 0.755)
Te (0.500, 0.754, 0.757)
Ca (0.000, 0.500, 0.500)
Er (0.000, 0.000, 0.000)
Ca (0.500, 0.000, 0.500)
Tb (0.500, 0.500, 0.000)
Te (0.000, 0.751, 0.245)

## Properties
density of states at the Fermi level = 3.64 states/eV/f.u.
DFT total energy = -37.31 eV for the cell shown
size of the total moment = 0.00 μB/cell
uncorrected formation energy = -1.443 eV per atom

# 2
The following is a GGA-PBE calculation of an optimized crystal structure of CaTb2ErTe4, from Alexandria.

Cell lengths 4.358, 7.585, 7.624 Å; angles 109.05, 90.00, 90.00 degrees
Atoms (fractional coordinates):
Tb (0.500, 0.000, 0.500)
Te (0.000, 0.253, 0.753)
Te (0.000, 0.747, 0.247)
Er (0.500, 0.500, 0.000)
Te (0.500, 0.747, 0.751)
Ca (0.000, 0.000, 0.000)
Tb (0.000, 0.500, 0.500)
Te (0.500, 0.253, 0.249)

## Properties
density of states at the Fermi level = 3.67 states/eV/f.u.
DFT total energy = -39.26 eV for the cell shown
size of the total moment = 0.00 μB/cell
uncorrected formation energy = -1.359 eV per atom

# 3
The following is a GGA-PBE calculation of an optimized crystal structure of CaTbEr2Tl4, from Alexandria.

Cell lengths 5.375, 5.375, 9.343 Å; angles 73.28, 73.28, 60.00 degrees
Atoms (fractional coordinates):
Tl (0.376, 0.376, 0.872)
Tl (0.624, 0.624, 0.128)
Ca (0.000, 0.000, 0.000)
Tl (0.874, 0.874, 0.377)
Er (0.748, 0.748, 0.755)
Tl (0.126, 0.126, 0.623)
Tb (0.500, 0.500, 0.500)
Er (0.252, 0.252, 0.245)

## Properties
density of states at the Fermi level = 5.14 states/eV/f.u.
DFT total energy = -27.99 eV for the cell shown
size of the total moment = 0.00 μB/cell
energy relative to the elements = -346 meV per atom

# 4
The following is a GGA-PBE calculation of an optimized crystal structure of CaTbErTm, from Alexandria.

Cell lengths 5.703, 5.703, 5.703 Å; angles 60.00, 60.00, 60.00 degrees
Atoms (fractional coordinates):
Tm (0.250, 0.250, 0.250)
Er (0.000, 0.000, 0.000)
Ca (0.750, 0.750, 0.750)
Tb (0.500, 0.500, 0.500)

## Properties
density of states at the Fermi level = 7.21 states/eV/f.u.
DFT total energy = -14.98 eV for the cell shown
size of the total moment = 0.00 μB/cell
energy relative to the elements = 171 meV per atom

# 5
The following is a GGA-PBE calculation of an optimized crystal structure of CaTbYEr, from Alexandria.

Cell lengths 5.742, 5.742, 5.742 Å; angles 60.00, 60.00, 60.00 degrees
Atoms (fractional coordinates):
Y (0.750, 0.750, 0.750)
Er (0.000, 0.000, 0.000)
Tb (0.250, 0.250, 0.250)
Ca (0.500, 0.500, 0.500)

## Properties
density of states at the Fermi level = 7.79 states/eV/f.u.
DFT total energy = -17.01 eV for the cell shown
size of the total moment = 0.00 μB/cell
energy relative to the elements = 163 meV per atom

# 6
The following is a GGA-PBE calculation of an optimized crystal structure of Ca2ErTe4, from Alexandria.

Cell lengths 4.208, 7.674, 15.133 Å; angles 90.00, 90.00, 105.91 degrees
Atoms (fractional coordinates):
Te (0.210, 0.420, 0.624)
Te (0.210, 0.420, 0.876)
Te (0.790, 0.580, 0.124)
Er (0.380, 0.760, 0.250)
Ca (0.137, 0.273, 0.427)
Te (0.500, 0.000, 0.500)
Te (0.970, 0.940, 0.750)
Ca (0.137, 0.273, 0.073)
Te (0.790, 0.580, 0.376)
Er (0.620, 0.240, 0.750)
Ca (0.863, 0.727, 0.927)
Ca (0.863, 0.727, 0.573)
Te (0.500, 0.000, 0.000)
Te (0.030, 0.060, 0.250)

## Properties
density of states at the Fermi level = 2.78 states/eV/f.u.
DFT total energy = -60.23 eV for the cell shown
size of the total moment = 0.00 μB/cell
uncorrected formation energy = -1.283 eV per atom